(1)
Entry from the Alexandria database: an optimized crystal structure of Bi3HPd (PBE).

Values from the calculation:
Spin magnetization = 0.00 μB per cell
Distance to the lowest polymorph of the same formula = 0 meV/atom
SG = Pm-3m, No. 221

a b c (Å): 4.823 4.823 4.823
angles (deg): 90.00 90.00 90.00
Positions (direct):
Bi 0.000 0.000 0.500
Bi 0.000 0.500 0.000
Bi 0.500 0.000 0.000
H 0.000 0.000 0.000
Pd 0.500 0.500 0.500

(2)
Entry from the Alexandria database: an optimized crystal structure of Bi2HPd2 (PBE).

Values from the calculation:
Spin magnetization = 0.00 μB per cell
Distance to the lowest polymorph of the same formula = 274 meV/atom
SG = P4/mbm, No. 127

a b c (Å): 7.508 7.508 3.681
angles (deg): 90.00 90.00 90.00
Positions (direct):
Bi 0.164 0.336 0.000
Bi 0.336 0.836 0.000
Bi 0.664 0.164 0.000
Bi 0.836 0.664 0.000
H 0.000 0.000 0.500
H 0.500 0.500 0.500
Pd 0.135 0.635 0.500
Pd 0.365 0.135 0.500
Pd 0.635 0.865 0.500
Pd 0.865 0.365 0.500

(3)
Entry from the Alexandria database: an optimized crystal structure of BiHPd2 (PBE).

Values from the calculation:
Spin magnetization = 0.00 μB per cell
Distance to the lowest polymorph of the same formula = 138 meV/atom
SG = R-3m, No. 166

a b c (Å): 6.838 6.838 6.838
angles (deg): 27.79 27.79 27.79
Positions (direct):
Bi 0.000 0.000 0.000
H 0.500 0.500 0.500
Pd 0.220 0.220 0.220
Pd 0.780 0.780 0.780

(4)
Entry from the Alexandria database: an optimized crystal structure of BiH2Pd8 (PBE).

Values from the calculation:
Spin magnetization = 0.00 μB per cell
Distance to the lowest polymorph of the same formula = 121 meV/atom
SG = C2/m, No. 12

a b c (Å): 7.328 7.328 4.528
angles (deg): 103.89 103.89 44.36
Positions (direct):
Bi 0.000 0.000 0.000
H 0.197 0.197 0.620
H 0.803 0.803 0.380
Pd 0.149 0.642 0.372
Pd 0.205 0.205 0.214
Pd 0.328 0.328 0.820
Pd 0.358 0.851 0.628
Pd 0.642 0.149 0.372
Pd 0.672 0.672 0.180
Pd 0.795 0.795 0.786
Pd 0.851 0.358 0.628

(5)
Entry from the Alexandria database: an optimized crystal structure of BiH3Pd3 (PBE).

Values from the calculation:
Spin magnetization = 0.00 μB per cell
Distance to the lowest polymorph of the same formula = 48 meV/atom
SG = R-3, No. 148

a b c (Å): 7.833 7.833 7.833
angles (deg): 40.51 40.51 40.51
Positions (direct):
Bi 0.166 0.166 0.166
Bi 0.834 0.834 0.834
H 0.052 0.696 0.371
H 0.304 0.629 0.948
H 0.371 0.052 0.696
H 0.629 0.948 0.304
H 0.696 0.371 0.052
H 0.948 0.304 0.629
Pd 0.047 0.391 0.728
Pd 0.272 0.953 0.609
Pd 0.391 0.728 0.047
Pd 0.609 0.272 0.953
Pd 0.728 0.047 0.391
Pd 0.953 0.609 0.272

(6)
Entry from the Alexandria database: an optimized crystal structure of PmBiHPd (PBE).

Values from the calculation:
E = -4.714 eV/atom
Spin magnetization = 0.00 μB per cell
SG = F-43m, No. 216

a b c (Å): 4.811 4.811 4.811
angles (deg): 60.00 60.00 60.00
Positions (direct):
Pm 0.000 0.000 0.000
Bi 0.500 0.500 0.500
H 0.750 0.750 0.750
Pd 0.250 0.250 0.250

(7)
Entry from the Alexandria database: an optimized crystal structure of Pm2BiHPd6 (PBE).

Values from the calculation:
E = -5.358 eV/atom
Spin magnetization = 0.00 μB per cell
SG = P-1, No. 2

a b c (Å): 5.708 5.709 7.311
angles (deg): 112.59 91.27 118.45
Positions (direct):
Pm 0.246 0.052 0.300
Pm 0.754 0.948 0.700
Bi 0.000 0.500 0.500
H 0.500 0.500 0.000
Pd 0.179 0.455 0.139
Pd 0.300 0.479 0.778
Pd 0.316 0.041 0.861
Pd 0.684 0.959 0.139
Pd 0.700 0.521 0.222
Pd 0.821 0.545 0.861

(8)
Entry from the Alexandria database: an optimized crystal structure of BiHPd2Pt (PBE).

Values from the calculation:
Spin magnetization = 0.00 μB per cell
Distance to the lowest polymorph of the same formula = 0 meV/atom
SG = P4/mmm, No. 123

a b c (Å): 4.382 4.382 3.897
angles (deg): 90.00 90.00 90.00
Positions (direct):
Bi 0.000 0.000 0.000
H 0.500 0.500 0.500
Pd 0.000 0.500 0.500
Pd 0.500 0.000 0.500
Pt 0.500 0.500 0.000

(9)
Entry from the Alexandria database: an optimized crystal structure of BiHPd2Pt (PBE).

Values from the calculation:
Spin magnetization = 0.00 μB per cell
Distance to the lowest polymorph of the same formula = 125 meV/atom
SG = P4/mmm, No. 123

a b c (Å): 4.000 4.000 4.807
angles (deg): 90.00 90.00 90.00
Positions (direct):
Bi 0.000 0.000 0.000
H 0.000 0.000 0.500
Pd 0.000 0.500 0.500
Pd 0.500 0.000 0.500
Pt 0.500 0.500 0.000

(10)
Entry from the Alexandria database: an optimized crystal structure of BiH6PdPt2 (PBE).

Values from the calculation:
E = -4.067 eV/atom
Spin magnetization = 0.00 μB per cell
SG = C2/c, No. 15

a b c (Å): 6.094 6.094 5.932
angles (deg): 101.04 101.04 103.42
Positions (direct):
Bi 0.133 0.867 0.750
Bi 0.867 0.133 0.250
H 0.164 0.543 0.303
H 0.201 0.273 0.610
H 0.273 0.201 0.110
H 0.327 0.533 0.926
H 0.457 0.836 0.197
H 0.467 0.673 0.574
H 0.533 0.327 0.426
H 0.543 0.164 0.803
H 0.673 0.467 0.074
H 0.727 0.799 0.890
H 0.799 0.727 0.390
H 0.836 0.457 0.697
Pd 0.448 0.552 0.250
Pd 0.552 0.448 0.750
Pt 0.051 0.347 0.806
Pt 0.347 0.051 0.306
Pt 0.653 0.949 0.694
Pt 0.949 0.653 0.194

(11)
Entry from the Alexandria database: an optimized crystal structure of BiHPdPt2 (PBE).

Values from the calculation:
E = -4.928 eV/atom
Spin magnetization = 0.00 μB per cell
SG = P4/mmm, No. 123

a b c (Å): 4.074 4.074 4.557
angles (deg): 90.00 90.00 90.00
Positions (direct):
Bi 0.000 0.000 0.000
H 0.500 0.500 0.500
Pd 0.500 0.500 0.000
Pt 0.000 0.500 0.500
Pt 0.500 0.000 0.500

(12)
Entry from the Alexandria database: an optimized crystal structure of BiH6PdRh2 (PBE).

Values from the calculation:
E = -4.393 eV/atom
Spin magnetization = 0.00 μB per cell
SG = C2/c, No. 15

a b c (Å): 6.284 6.284 5.215
angles (deg): 102.82 102.82 86.21
Positions (direct):
Bi 0.173 0.827 0.750
Bi 0.827 0.173 0.250
H 0.099 0.515 0.184
H 0.133 0.304 0.597
H 0.304 0.133 0.097
H 0.343 0.393 0.940
H 0.393 0.343 0.440
H 0.485 0.901 0.316
H 0.515 0.099 0.684
H 0.607 0.657 0.560
H 0.657 0.607 0.060
H 0.696 0.867 0.903
H 0.867 0.696 0.403
H 0.901 0.485 0.816
Pd 0.395 0.605 0.250
Pd 0.605 0.395 0.750
Rh 0.098 0.277 0.906
Rh 0.277 0.098 0.406
Rh 0.723 0.902 0.594
Rh 0.902 0.723 0.094

(13)
Entry from the Alexandria database: an optimized crystal structure of BiSbHPd2 (PBE).

Values from the calculation:
Spin magnetization = 0.96 μB per cell
Distance to the lowest polymorph of the same formula = 850 meV/atom
SG = P4/mmm, No. 123

a b c (Å): 5.029 5.029 5.819
angles (deg): 90.00 90.00 90.00
Positions (direct):
Bi 0.000 0.000 0.000
Sb 0.000 0.000 0.500
H 0.500 0.500 0.000
Pd 0.000 0.500 0.500
Pd 0.500 0.000 0.500

(14)
Entry from the Alexandria database: an optimized crystal structure of BiSb2H2Pd7 (PBE).

Values from the calculation:
E = -4.855 eV/atom
Spin magnetization = 0.00 μB per cell
SG = C2/m, No. 12

a b c (Å): 4.124 4.124 11.187
angles (deg): 96.53 96.53 89.97
Positions (direct):
Bi 0.000 0.000 0.000
Sb 0.134 0.134 0.373
Sb 0.866 0.866 0.627
H 0.497 0.497 0.831
H 0.503 0.503 0.169
Pd 0.081 0.581 0.206
Pd 0.355 0.355 0.598
Pd 0.419 0.919 0.794
Pd 0.500 0.500 0.000
Pd 0.581 0.081 0.206
Pd 0.645 0.645 0.402
Pd 0.919 0.419 0.794

(15)
Entry from the Alexandria database: an optimized crystal structure of BiSbHPd2 (PBE).

Values from the calculation:
Spin magnetization = 0.00 μB per cell
Distance to the lowest polymorph of the same formula = 0 meV/atom
SG = P4/mmm, No. 123

a b c (Å): 5.153 5.153 3.668
angles (deg): 90.00 90.00 90.00
Positions (direct):
Bi 0.000 0.000 0.000
Sb 0.500 0.500 0.500
H 0.500 0.500 0.000
Pd 0.000 0.500 0.500
Pd 0.500 0.000 0.500

(16)
Entry from the Alexandria database: an optimized crystal structure of BiSb2HPd (PBE).

Values from the calculation:
E = -4.115 eV/atom
Spin magnetization = 0.00 μB per cell
SG = P4/mmm, No. 123

a b c (Å): 5.508 5.508 3.547
angles (deg): 90.00 90.00 90.00
Positions (direct):
Bi 0.000 0.000 0.000
Sb 0.000 0.500 0.500
Sb 0.500 0.000 0.500
H 0.500 0.500 0.000
Pd 0.500 0.500 0.500

(17)
Entry from the Alexandria database: an optimized crystal structure of Bi2SbH2Pd7 (PBE).

Values from the calculation:
E = -4.831 eV/atom
Spin magnetization = 0.00 μB per cell
SG = C2/m, No. 12

a b c (Å): 4.115 4.115 11.656
angles (deg): 100.13 100.13 90.13
Positions (direct):
Bi 0.196 0.196 0.395
Bi 0.804 0.804 0.605
Sb 0.000 0.000 0.000
H 0.409 0.409 0.823
H 0.591 0.591 0.177
Pd 0.087 0.587 0.175
Pd 0.325 0.325 0.648
Pd 0.413 0.913 0.825
Pd 0.500 0.500 0.000
Pd 0.587 0.087 0.175
Pd 0.675 0.675 0.352
Pd 0.913 0.413 0.825

(18)
Entry from the Alexandria database: an optimized crystal structure of ScBiHPd2 (PBE).

Values from the calculation:
E = -5.270 eV/atom
Spin magnetization = 0.00 μB per cell
SG = P4/mmm, No. 123

a b c (Å): 4.230 4.230 4.414
angles (deg): 90.00 90.00 90.00
Positions (direct):
Sc 0.000 0.000 0.000
Bi 0.500 0.500 0.000
H 0.000 0.000 0.500
Pd 0.000 0.500 0.500
Pd 0.500 0.000 0.500

(19)
Entry from the Alexandria database: an optimized crystal structure of Bi3H2Pd9Se (PBE).

Values from the calculation:
E = -4.769 eV/atom
Spin magnetization = 0.00 μB per cell
SG = P-3m1, No. 164

a b c (Å): 5.797 5.797 8.540
angles (deg): 90.00 90.00 120.00
Positions (direct):
Bi 0.000 0.000 0.000
Bi 0.333 0.667 0.614
Bi 0.667 0.333 0.386
H 0.333 0.667 0.130
H 0.667 0.333 0.870
Pd 0.000 0.500 0.000
Pd 0.171 0.342 0.277
Pd 0.171 0.829 0.277
Pd 0.342 0.171 0.723
Pd 0.500 0.000 0.000
Pd 0.500 0.500 0.000
Pd 0.658 0.829 0.277
Pd 0.829 0.171 0.723
Pd 0.829 0.658 0.723
Se 0.000 0.000 0.500

(20)
Entry from the Alexandria database: an optimized crystal structure of Sn2BiHPd (PBE).

Values from the calculation:
E = -4.091 eV/atom
Spin magnetization = 0.00 μB per cell
SG = P4/mmm, No. 123

a b c (Å): 5.560 5.560 3.512
angles (deg): 90.00 90.00 90.00
Positions (direct):
Sn 0.000 0.500 0.000
Sn 0.500 0.000 0.000
Bi 0.000 0.000 0.500
H 0.500 0.500 0.500
Pd 0.500 0.500 0.000